Entry from Alexandria: a relaxed TbGa2WO8 crystal (PBE with a Hubbard U).

Lattice parameters (Å, degrees): 4.705 4.704 6.473 90.00 90.00 89.76
Sites, in units of the cell vectors:
Tb 0.000 0.000 0.500
Ga 0.500 0.500 0.760
Ga 0.500 0.500 0.240
W 0.000 0.000 0.000
O 0.200 0.799 0.216
O 0.702 0.702 0.000
O 0.800 0.201 0.216
O 0.800 0.201 0.784
O 0.298 0.298 0.000
O 0.200 0.799 0.784
O 0.670 0.671 0.500
O 0.330 0.329 0.500

Results
The calculation puts the calculated total energy at -6.85 eV per atom. Its magnetization is 0.57 Bohr magnetons per cell. Its space-group type is No. 65. As for the volume: 11.9 Å³/atom.